# 1
The following is a DFT calculation (SCAN) of a crystal of Ba2RhAu relaxed with PBEsol.

## Properties
Raw total energy in eV per cell: -730.0
N(E_F) in states/eV/f.u.: 1.33
Formation energy in eV/atom: -0.121
Symmetry: F-43m (216)
M_tot in μB per cell: 0.0

abc: 7.380 7.380 7.380
angles: 90.00 90.00 90.00
Element x y z (fractional)
Ba1 0.000 0.000 0.000
Ba2 0.000 0.500 0.500
Ba3 0.250 0.250 0.250
Ba4 0.250 0.750 0.750
Ba5 0.500 0.000 0.500
Ba6 0.500 0.500 0.000
Ba7 0.750 0.250 0.750
Ba8 0.750 0.750 0.250
Rh1 0.000 0.000 0.500
Rh2 0.000 0.500 0.000
Rh3 0.500 0.000 0.000
Rh4 0.500 0.500 0.500
Au1 0.250 0.250 0.750
Au2 0.250 0.750 0.250
Au3 0.750 0.250 0.250
Au4 0.750 0.750 0.750



# 2
The following is a DFT calculation (SCAN) of a crystal of AgSbW2 relaxed with PBEsol.

## Properties
Raw total energy in eV per cell: -410.1
N(E_F) in states/eV/f.u.: 1.66
Symmetry: Cm (8)
M_tot in μB per cell: 0.0

abc: 9.373 3.209 4.819
angles: 90.00 104.02 90.00
Element x y z (fractional)
Ag1 0.000 0.000 0.000
Ag2 0.500 0.500 0.000
Sb1 0.266 0.500 0.254
Sb2 0.766 0.000 0.254
W1 0.026 0.500 0.534
W2 0.241 0.000 0.728
W3 0.526 0.000 0.534
W4 0.741 0.500 0.728



# 3
The following is a DFT calculation (SCAN) of a crystal of TmScPd2 relaxed with PBEsol.

## Properties
Raw total energy in eV per cell: -542.7
N(E_F) in states/eV/f.u.: 2.07
Formation energy in eV/atom: -1.014
Symmetry: Fm-3m (225)
M_tot in μB per cell: 0.0

abc: 6.676 6.676 6.676
angles: 90.00 90.00 90.00
Element x y z (fractional)
Tm1 0.000 0.000 0.000
Tm2 0.000 0.500 0.500
Tm3 0.500 0.000 0.500
Tm4 0.500 0.500 0.000
Sc1 0.000 0.000 0.500
Sc2 0.000 0.500 0.000
Sc3 0.500 0.000 0.000
Sc4 0.500 0.500 0.500
Pd1 0.250 0.250 0.250
Pd2 0.250 0.250 0.750
Pd3 0.250 0.750 0.250
Pd4 0.250 0.750 0.750
Pd5 0.750 0.250 0.250
Pd6 0.750 0.250 0.750
Pd7 0.750 0.750 0.250
Pd8 0.750 0.750 0.750